# RhPbF6 (PBE-GGA, optimized geometry)
# - size of the total moment (μB/cell) = 2.1
# - formation energy (no corrections) (eV per atom) = -1.864
data_RhPbF6
_chemical_formula_sum 'Rh2 Pb2 F12'
_cell_length_a 5.4535
_cell_length_b 5.4535
_cell_length_c 10.2868
_cell_angle_alpha 90.00
_cell_angle_beta 90.00
_cell_angle_gamma 120.00
_space_group_name_H-M_alt 'P -3 1 c'
_space_group_IT_number 163
_space_group_name_Hall '-P 3 2c'
loop_
_atom_site_label
_atom_site_fract_x
_atom_site_fract_y
_atom_site_fract_z
Rh1 0.0000 0.0000 0.0000
Pb1 0.3333 0.6667 0.2500
F1 0.0180 0.2995 0.6110

# RhPb3F (PBE-GGA, optimized geometry)
# - size of the total moment (μB/cell) = 0.0
# - formation energy (no corrections) (eV per atom) = -0.258
# - distance to the lowest polymorph of the same formula (eV per formula unit) = 0.00
data_RhPb3F
_chemical_formula_sum 'Rh1 Pb3 F1'
_cell_length_a 5.299
_cell_length_b 5.299
_cell_length_c 5.299
_cell_angle_alpha 90.00
_cell_angle_beta 90.00
_cell_angle_gamma 90.00
_space_group_name_H-M_alt 'P m -3 m'
_space_group_IT_number 221
_space_group_name_Hall '-P 4 2 3'
loop_
_atom_site_label
_atom_site_fract_x
_atom_site_fract_y
_atom_site_fract_z
Rh1 0.000 0.000 0.000
Pb1 0.000 0.000 0.500
F1 0.500 0.500 0.500

# RhPb3F (PBE-GGA, optimized geometry)
# - size of the total moment (μB/cell) = 0.0
# - formation energy (no corrections) (eV per atom) = -0.120
# - distance to the lowest polymorph of the same formula (eV per formula unit) = 0.69
data_RhPb3F
_chemical_formula_sum 'Rh1 Pb3 F1'
_cell_length_a 4.957
_cell_length_b 4.957
_cell_length_c 4.957
_cell_angle_alpha 90.00
_cell_angle_beta 90.00
_cell_angle_gamma 90.00
_space_group_name_H-M_alt 'P m -3 m'
_space_group_IT_number 221
_space_group_name_Hall '-P 4 2 3'
loop_
_atom_site_label
_atom_site_fract_x
_atom_site_fract_y
_atom_site_fract_z
Rh1 0.000 0.000 0.000
Pb1 0.000 0.500 0.500
F1 0.500 0.500 0.500

Repeat the third record exactly.
# RhPb3F (PBE-GGA, optimized geometry)
# - size of the total moment (μB/cell) = 0.0
# - formation energy (no corrections) (eV per atom) = -0.120
# - distance to the lowest polymorph of the same formula (eV per formula unit) = 0.69
data_RhPb3F
_chemical_formula_sum 'Rh1 Pb3 F1'
_cell_length_a 4.957
_cell_length_b 4.957
_cell_length_c 4.957
_cell_angle_alpha 90.00
_cell_angle_beta 90.00
_cell_angle_gamma 90.00
_space_group_name_H-M_alt 'P m -3 m'
_space_group_IT_number 221
_space_group_name_Hall '-P 4 2 3'
loop_
_atom_site_label
_atom_site_fract_x
_atom_site_fract_y
_atom_site_fract_z
Rh1 0.000 0.000 0.000
Pb1 0.000 0.500 0.500
F1 0.500 0.500 0.500